P | Entry from Alexandria: crystalline Co2PbAu2 at its relaxed geometry (GGA-PBE).

Output
The symmetry is I4/mmm (139). Its total moment is 0.77 μB per atom.

abc: 3.3768 3.3768 8.5536
angles: 78.62 78.62 90.00
Atoms (fractional coordinates):
1 Co 0.7500 0.2500 0.5000
2 Co 0.2500 0.7500 0.5000
3 Au 0.6240 0.6240 0.7521
4 Au 0.3760 0.3760 0.2479
5 Pb 0.0000 0.0000 0.0000

***

Q | Entry from Alexandria: crystalline Co2PbAu2 at its relaxed geometry (GGA-PBE).

Output
The symmetry is P4/mbm (127). Its total moment is 0.59 μB per atom.

abc: 6.7550 6.7550 3.7665
angles: 90.00 90.00 90.00
Atoms (fractional coordinates):
1 Au 0.1641 0.6641 0.5000
2 Au 0.8359 0.3359 0.5000
3 Au 0.6641 0.8359 0.5000
4 Au 0.3359 0.1641 0.5000
5 Co 0.8785 0.6215 0.0000
6 Co 0.3785 0.8785 0.0000
7 Co 0.6215 0.1215 0.0000
8 Co 0.1215 0.3785 0.0000
9 Pb 0.5000 0.5000 0.0000
10 Pb 0.0000 0.0000 0.0000

***

R | Entry from Alexandria: crystalline Co2PbAu2 at its relaxed geometry (GGA-PBE).

Output
The symmetry is I4/mmm (139). Its total moment is 0.68 μB per atom.

abc: 3.9743 3.9743 6.4230
angles: 71.98 71.98 90.00
Atoms (fractional coordinates):
1 Pb 0.0000 0.0000 0.0000
2 Co 0.5958 0.5958 0.8084
3 Co 0.4042 0.4042 0.1916
4 Au 0.2500 0.7500 0.5000
5 Au 0.7500 0.2500 0.5000

***

It is R that is the least stable of them.

***

P | Entry from Alexandria: crystalline CoPd4Au at its relaxed geometry (GGA-PBE).

Output
The symmetry is Pmmm (47). Its total moment is 0.51 μB per atom.

abc: 2.7871 3.8719 8.4569
angles: 90.00 90.00 90.00
Atoms (fractional coordinates):
1 Pd 0.0000 0.5000 0.6549
2 Pd 0.5000 0.0000 0.1795
3 Pd 0.0000 0.5000 0.3451
4 Pd 0.5000 0.0000 0.8205
5 Co 0.5000 0.0000 0.5000
6 Au 0.0000 0.5000 0.0000

***

Q | Entry from Alexandria: crystalline CoPd4Au at its relaxed geometry (GGA-PBE).

Output
The symmetry is C2/m (12). Its total moment is 0.54 μB per atom.

abc: 4.8292 6.6207 7.2560
angles: 117.14 109.41 90.00
Atoms (fractional coordinates):
1 Pd 0.3780 0.0949 0.7555
2 Pd 0.0000 0.1941 0.0000
3 Pd 0.8220 0.3223 0.6445
4 Pd 0.3780 0.6606 0.7555
5 Pd 0.6220 0.9051 0.2445
6 Pd 0.6220 0.3394 0.2445
7 Pd 0.0000 0.8059 0.0000
8 Pd 0.1780 0.6777 0.3555
9 Co 0.2771 0.4998 0.9996
10 Co 0.7229 0.5002 0.0004
11 Au 0.7956 0.7956 0.5912
12 Au 0.2044 0.2044 0.4088

***

It is Q that is the least stable of them.

***

P | Entry from Alexandria: crystalline Co2Pd2Au at its relaxed geometry (GGA-PBE).

Output
The symmetry is P4/mbm (127). Its total moment is 0.90 μB per atom.

abc: 7.2751 7.2751 2.7706
angles: 90.00 90.00 90.00
Atoms (fractional coordinates):
1 Co 0.3878 0.8878 0.0000
2 Co 0.1122 0.3878 0.0000
3 Co 0.8878 0.6122 0.0000
4 Co 0.6122 0.1122 0.0000
5 Au 0.0000 0.0000 0.0000
6 Au 0.5000 0.5000 0.0000
7 Pd 0.3200 0.1800 0.5000
8 Pd 0.1800 0.6800 0.5000
9 Pd 0.8200 0.3200 0.5000
10 Pd 0.6800 0.8200 0.5000

***

Q | Entry from Alexandria: crystalline Co2Pd2Au at its relaxed geometry (GGA-PBE).

Output
The symmetry is P4/mbm (127). Its total moment is 0.93 μB per atom.

abc: 7.3760 7.3760 2.7296
angles: 90.00 90.00 90.00
Atoms (fractional coordinates):
1 Pd 0.8701 0.6299 0.0000
2 Pd 0.1299 0.3701 0.0000
3 Pd 0.6299 0.1299 0.0000
4 Pd 0.3701 0.8701 0.0000
5 Au 0.5000 0.5000 0.0000
6 Au 0.0000 0.0000 0.0000
7 Co 0.3331 0.1669 0.5000
8 Co 0.1669 0.6669 0.5000
9 Co 0.6669 0.8331 0.5000
10 Co 0.8331 0.3331 0.5000

***

It is Q that is the least stable of them.

***

P | Entry from Alexandria: crystalline CoPdAu at its relaxed geometry (GGA-PBE).

Output
The symmetry is P2_1/m (11). Its total moment is 0.69 μB per atom.

abc: 2.8007 2.8002 11.3966
angles: 90.00 89.83 90.02
Atoms (fractional coordinates):
1 Pd 0.3704 0.7911 0.9718
2 Pd 0.8743 0.2910 0.5406
3 Au 0.8707 0.2914 0.1574
4 Au 0.3746 0.7912 0.3549
5 Co 0.3728 0.7910 0.6955
6 Co 0.8718 0.2909 0.8168

***

Q | Entry from Alexandria: crystalline CoPdAu at its relaxed geometry (GGA-PBE).

Output
The symmetry is P3m1 (156). Its total moment is 0.70 μB per atom.

abc: 2.7993 2.7993 6.6591
angles: 90.00 90.00 120.00
Atoms (fractional coordinates):
1 Pd 0.3333 0.6667 0.6458
2 Co 0.6667 0.3333 0.3424
3 Au 0.0000 0.0000 0.0117

***

It is Q that is the least stable of them.